## CsTlGe (PBE)

Data for an optimized crystal structure of CsTlGe.

extended XYZ file:
```
12
Lattice="12.535 0.000 0.000 0.000 4.115 0.000 0.000 0.000 10.037" Properties=species:S:1:pos:R:3 pbc="T T T"
Cs 2.613 3.086 5.781
Cs 9.922 1.029 4.256
Cs 3.655 1.029 0.763
Cs 8.881 3.086 9.274
Ge 5.475 1.029 4.618
Ge 0.793 3.086 9.637
Ge 11.742 1.029 0.400
Ge 7.060 3.086 5.419
Tl 6.676 3.086 2.607
Tl 0.408 3.086 2.411
Tl 5.859 1.029 7.430
Tl 12.127 1.029 7.626
```

Output
- crystal system = orthorhombic
- E_form (eV per atom) = -0.0368

---

## CsTlGe (PBE)

Data for an optimized crystal structure of CsTlGe.

extended XYZ file:
```
6
Lattice="-17.740 4.492 11.511 -7.135 -1.700 4.071 8.204 -1.167 -1.304" Properties=species:S:1:pos:R:3 pbc="T T T"
Cs -10.235 0.499 7.547
Cs -5.985 2.411 7.887
Ge -5.373 -0.551 4.580
Ge -16.041 3.022 12.406
Tl -10.533 3.176 10.437
Tl 0.547 0.301 3.176
```

Output
- crystal system = monoclinic
- E_form (eV per atom) = -0.0744

---

## CsTlGe2 (PBE)

Data for an optimized crystal structure of CsTlGe2.

extended XYZ file:
```
8
Lattice="-1.909 -4.321 -2.712 -1.694 -2.195 4.689 -10.768 1.375 -0.082" Properties=species:S:1:pos:R:3 pbc="T T T"
Ge -9.959 -3.025 -1.848
Ge -4.574 -3.712 -1.808
Ge -9.004 -0.863 -0.493
Ge -5.421 -4.809 0.537
Cs -1.801 -3.258 0.988
Cs -7.132 -2.039 2.798
Tl -7.239 -3.102 -0.903
Tl 0.000 0.000 0.000
```

Output
- crystal system = tetragonal
- E_form (eV per atom) = 0.1930
- relative energy among the computed polymorphs (eV per atom) = 0.000

---

## Cs2TlGe2 (PBE)

Data for an optimized crystal structure of Cs2TlGe2.

extended XYZ file:
```
10
Lattice="-2.961 4.055 -6.943 -8.032 -1.147 2.755 0.250 4.994 2.810" Properties=species:S:1:pos:R:3 pbc="T T T"
Cs -6.160 2.524 1.918
Cs -4.583 5.379 -3.296
Cs -2.402 3.451 -0.065
Cs -8.341 4.451 -1.313
Tl -5.497 1.454 -2.094
Tl 0.000 0.000 0.000
Ge -2.524 2.304 -3.869
Ge -8.469 0.604 -0.319
Ge -7.459 2.988 -4.645
Ge -3.535 -0.080 0.457
```

Output
- crystal system = tetragonal
- E_form (eV per atom) = 0.0622
- relative energy among the computed polymorphs (eV per atom) = 0.076